# Dy3HoBi3 | Alexandria via LeMat-Bulk | PBE | optimized geometry
data_Dy3HoBi3
_cell_length_a 9.0773
_cell_length_b 9.0773
_cell_length_c 18.8305
_cell_angle_alpha 90.00
_cell_angle_beta 90.00
_cell_angle_gamma 120.00
_symmetry_space_group_name_H-M 'R -3'
_symmetry_Int_Tables_number 148
_symmetry_space_group_name_Hall '-R 3'
loop_
_atom_site_label
_atom_site_type_symbol
_atom_site_fract_x
_atom_site_fract_y
_atom_site_fract_z
_atom_site_occupancy
Dy1 Dy 0.0010 0.7456 0.0818 1
Ho1 Ho 0.0000 0.0000 0.3333 1
Bi1 Bi 0.0017 0.6091 0.9155 1
# calculated total energy: -207.3 eV per cell
# polymorph energy (0 for the lowest one): 7.13 kJ per mole of atoms
# energy relative to the elements: -646 meV per atom

---

# DyHoBi | Alexandria via LeMat-Bulk | PBE | optimized geometry
data_DyHoBi
_cell_length_a 5.2434
_cell_length_b 5.2434
_cell_length_c 3.8486
_cell_angle_alpha 90.00
_cell_angle_beta 90.00
_cell_angle_gamma 120.00
_symmetry_space_group_name_H-M 'P 3 m 1'
_symmetry_Int_Tables_number 156
loop_
_symmetry_equiv_pos_as_xyz
'x,y,z'
'-y,x-y,z'
'-x+y,-x,z'
'-y,-x,z'
'-x+y,y,z'
'x,x-y,z'
loop_
_atom_site_label
_atom_site_type_symbol
_atom_site_fract_x
_atom_site_fract_y
_atom_site_fract_z
_atom_site_occupancy
Dy1 Dy 0.0000 0.0000 0.0000 1
Ho1 Ho 0.3333 0.6667 0.4669 1
Bi1 Bi 0.6667 0.3333 0.7247 1
# calculated total energy: -13.8 eV per cell
# energy relative to the elements: -255 meV per atom

---

# Dy4HoBi5 | Alexandria via LeMat-Bulk | PBE | optimized geometry
data_Dy4HoBi5
_cell_length_a 4.4707
_cell_length_b 6.3176
_cell_length_c 22.3453
_cell_angle_alpha 90.00
_cell_angle_beta 90.00
_cell_angle_gamma 90.00
_symmetry_space_group_name_H-M 'I m m m'
_symmetry_Int_Tables_number 71
_symmetry_space_group_name_Hall '-I 2 2'
loop_
_atom_site_label
_atom_site_type_symbol
_atom_site_fract_x
_atom_site_fract_y
_atom_site_fract_z
_atom_site_occupancy
Dy1 Dy 0.0000 0.0000 0.1000 1
Dy2 Dy 0.0000 0.0000 0.3002 1
Ho1 Ho 0.0000 0.0000 0.5000 1
Bi1 Bi 0.0000 0.5000 0.0996 1
Bi2 Bi 0.0000 0.5000 0.3000 1
Bi3 Bi 0.0000 0.5000 0.5000 1
# calculated total energy: -101.9 eV per cell
# energy relative to the elements: -855 meV per atom

---

# Dy3HoBi4 | Alexandria via LeMat-Bulk | PBE | optimized geometry
data_Dy3HoBi4
_cell_length_a 6.3157
_cell_length_b 6.3157
_cell_length_c 6.3157
_cell_angle_alpha 90.00
_cell_angle_beta 90.00
_cell_angle_gamma 90.00
_symmetry_space_group_name_H-M 'P m -3 m'
_symmetry_Int_Tables_number 221
_symmetry_space_group_name_Hall '-P 4 2 3'
loop_
_atom_site_label
_atom_site_type_symbol
_atom_site_fract_x
_atom_site_fract_y
_atom_site_fract_z
_atom_site_occupancy
Dy1 Dy 0.0000 0.0000 0.5000 1
Ho1 Ho 0.5000 0.5000 0.5000 1
Bi1 Bi 0.0000 0.0000 0.0000 1
Bi2 Bi 0.0000 0.5000 0.5000 1
# calculated total energy: -40.8 eV per cell
# polymorph energy (0 for the lowest one): 0.00 kJ per mole of atoms
# energy relative to the elements: -859 meV per atom

---

# DyHo3Bi4 | Alexandria via LeMat-Bulk | PBE | optimized geometry
data_DyHo3Bi4
_cell_length_a 6.3048
_cell_length_b 6.3048
_cell_length_c 6.3048
_cell_angle_alpha 90.00
_cell_angle_beta 90.00
_cell_angle_gamma 90.00
_symmetry_space_group_name_H-M 'P m -3 m'
_symmetry_Int_Tables_number 221
_symmetry_space_group_name_Hall '-P 4 2 3'
loop_
_atom_site_label
_atom_site_type_symbol
_atom_site_fract_x
_atom_site_fract_y
_atom_site_fract_z
_atom_site_occupancy
Dy1 Dy 0.0000 0.0000 0.0000 1
Ho1 Ho 0.0000 0.5000 0.5000 1
Bi1 Bi 0.0000 0.0000 0.5000 1
Bi2 Bi 0.5000 0.5000 0.5000 1
# calculated total energy: -40.6 eV per cell
# polymorph energy (0 for the lowest one): 0.00 kJ per mole of atoms
# energy relative to the elements: -847 meV per atom

---

# DyHo3Bi3 | Alexandria via LeMat-Bulk | PBE | optimized geometry
data_DyHo3Bi3
_cell_length_a 9.3555
_cell_length_b 9.3555
_cell_length_c 9.3555
_cell_angle_alpha 90.00
_cell_angle_beta 90.00
_cell_angle_gamma 90.00
_symmetry_space_group_name_H-M 'P 21 3'
_symmetry_Int_Tables_number 198
_symmetry_space_group_name_Hall 'P 2ac 2ab 3'
loop_
_atom_site_label
_atom_site_type_symbol
_atom_site_fract_x
_atom_site_fract_y
_atom_site_fract_z
_atom_site_occupancy
Dy1 Dy 0.0730 0.4270 0.5730 1
Ho1 Ho 0.0740 0.5740 0.9260 1
Ho2 Ho 0.1770 0.1770 0.1770 1
Ho3 Ho 0.1767 0.8233 0.3233 1
Bi1 Bi 0.0003 0.2508 0.8755 1
# calculated total energy: -139.7 eV per cell
# polymorph energy (0 for the lowest one): 0.00 kJ per mole of atoms
# energy relative to the elements: -706 meV per atom

---

# DyHo4Bi2 | Alexandria via LeMat-Bulk | PBE | optimized geometry
data_DyHo4Bi2
_cell_length_a 5.3070
_cell_length_b 5.3070
_cell_length_c 16.6605
_cell_angle_alpha 90.00
_cell_angle_beta 90.00
_cell_angle_gamma 90.00
_symmetry_space_group_name_H-M 'I 4/m m m'
_symmetry_Int_Tables_number 139
_symmetry_space_group_name_Hall '-I 4 2'
loop_
_atom_site_label
_atom_site_type_symbol
_atom_site_fract_x
_atom_site_fract_y
_atom_site_fract_z
_atom_site_occupancy
Dy1 Dy 0.0000 0.0000 0.0000 1
Ho1 Ho 0.0000 0.0000 0.1809 1
Ho2 Ho 0.0000 0.5000 0.0000 1
Bi1 Bi 0.0000 0.0000 0.3651 1
# calculated total energy: -56.7 eV per cell
# energy relative to the elements: 332 meV per atom

---

# DyHoBi | Alexandria via LeMat-Bulk | PBE | optimized geometry
data_DyHoBi
_cell_length_a 4.5392
_cell_length_b 4.5392
_cell_length_c 8.5972
_cell_angle_alpha 90.00
_cell_angle_beta 90.00
_cell_angle_gamma 90.00
_symmetry_space_group_name_H-M 'P 4/n m m'
_symmetry_Int_Tables_number 129
loop_
_symmetry_equiv_pos_as_xyz
'x,y,z'
'-x,-y,-z'
'-y+1/2,x,z'
'y+1/2,-x,-z'
'-x+1/2,-y+1/2,z'
'x+1/2,y+1/2,-z'
'y,-x+1/2,z'
'-y,x+1/2,-z'
'x+1/2,-y,-z'
'-x+1/2,y,z'
'-y,-x,-z'
'y,x,z'
'-x,y+1/2,-z'
'x,-y+1/2,z'
'y+1/2,x+1/2,-z'
'-y+1/2,-x+1/2,z'
loop_
_atom_site_label
_atom_site_type_symbol
_atom_site_fract_x
_atom_site_fract_y
_atom_site_fract_z
_atom_site_occupancy
Dy1 Dy 0.2500 0.2500 0.1544 1
Ho1 Ho 0.2500 0.7500 0.5000 1
Bi1 Bi 0.2500 0.2500 0.7837 1
# calculated total energy: -29.6 eV per cell
# energy relative to the elements: -588 meV per atom

---

# DyHo4Bi3 | Alexandria via LeMat-Bulk | PBE | optimized geometry
data_DyHo4Bi3
_cell_length_a 4.0234
_cell_length_b 8.6779
_cell_length_c 14.1578
_cell_angle_alpha 90.00
_cell_angle_beta 90.00
_cell_angle_gamma 90.00
_symmetry_space_group_name_H-M 'I m m m'
_symmetry_Int_Tables_number 71
_symmetry_space_group_name_Hall '-I 2 2'
loop_
_atom_site_label
_atom_site_type_symbol
_atom_site_fract_x
_atom_site_fract_y
_atom_site_fract_z
_atom_site_occupancy
Dy1 Dy 0.0000 0.0000 0.0000 1
Ho1 Ho 0.0000 0.2961 0.1325 1
Bi1 Bi 0.0000 0.0000 0.5000 1
Bi2 Bi 0.0000 0.5000 0.3206 1
# calculated total energy: -75.1 eV per cell
# energy relative to the elements: -377 meV per atom

---

# Dy3HoBi2 | Alexandria via LeMat-Bulk | PBE | optimized geometry
data_Dy3HoBi2
_cell_length_a 18.4987
_cell_length_b 4.3074
_cell_length_c 10.0210
_cell_angle_alpha 90.00
_cell_angle_beta 113.91
_cell_angle_gamma 90.00
_symmetry_space_group_name_H-M 'C 1 2/m 1'
_symmetry_Int_Tables_number 12
loop_
_symmetry_equiv_pos_as_xyz
'x,y,z'
'-x,-y,-z'
'-x,y,-z'
'x,-y,z'
'x+1/2,y+1/2,z'
'-x+1/2,-y+1/2,-z'
'-x+1/2,y+1/2,-z'
'x+1/2,-y+1/2,z'
loop_
_atom_site_label
_atom_site_type_symbol
_atom_site_fract_x
_atom_site_fract_y
_atom_site_fract_z
_atom_site_occupancy
Dy1 Dy 0.0554 0.0000 0.1695 1
Dy2 Dy 0.1410 0.5000 0.9787 1
Dy3 Dy 0.1878 0.5000 0.3913 1
Ho1 Ho 0.1098 0.0000 0.6063 1
Bi1 Bi 0.0069 0.5000 0.3416 1
Bi2 Bi 0.2476 0.5000 0.7811 1
# calculated total energy: -115.8 eV per cell
# polymorph energy (0 for the lowest one): 11.61 kJ per mole of atoms
# energy relative to the elements: -469 meV per atom

---

# DyHo5Bi5 | Alexandria via LeMat-Bulk | PBE | optimized geometry
data_DyHo5Bi5
_cell_length_a 13.8693
_cell_length_b 6.2470
_cell_length_c 8.8101
_cell_angle_alpha 90.00
_cell_angle_beta 108.45
_cell_angle_gamma 90.00
_symmetry_space_group_name_H-M 'C 1 2/m 1'
_symmetry_Int_Tables_number 12
loop_
_symmetry_equiv_pos_as_xyz
'x,y,z'
'-x,-y,-z'
'-x,y,-z'
'x,-y,z'
'x+1/2,y+1/2,z'
'-x+1/2,-y+1/2,-z'
'-x+1/2,y+1/2,-z'
'x+1/2,-y+1/2,z'
loop_
_atom_site_label
_atom_site_type_symbol
_atom_site_fract_x
_atom_site_fract_y
_atom_site_fract_z
_atom_site_occupancy
Dy1 Dy 0.0000 0.0000 0.0000 1
Ho1 Ho 0.0000 0.0000 0.5000 1
Ho2 Ho 0.1633 0.5000 0.8275 1
Ho3 Ho 0.1638 0.5000 0.3361 1
Bi1 Bi 0.0000 0.5000 0.0000 1
Bi2 Bi 0.1669 0.0000 0.3359 1
Bi3 Bi 0.1701 0.0000 0.8322 1
# calculated total energy: -107.9 eV per cell
# energy relative to the elements: -642 meV per atom

---

# Dy8HoBi6 | Alexandria via LeMat-Bulk | PBE | optimized geometry
data_Dy8HoBi6
_cell_length_a 7.6317
_cell_length_b 7.6317
_cell_length_c 29.5040
_cell_angle_alpha 90.00
_cell_angle_beta 90.00
_cell_angle_gamma 120.00
_symmetry_space_group_name_H-M 'R -3'
_symmetry_Int_Tables_number 148
_symmetry_space_group_name_Hall '-R 3'
loop_
_atom_site_label
_atom_site_type_symbol
_atom_site_fract_x
_atom_site_fract_y
_atom_site_fract_z
_atom_site_occupancy
Dy1 Dy 0.0000 0.0000 0.1667 1
Dy2 Dy 0.9999 0.3339 0.6212 1
Ho1 Ho 0.0000 0.0000 0.5000 1
Bi1 Bi 0.9999 0.3326 0.4379 1
# calculated total energy: -217.0 eV per cell
# energy relative to the elements: -511 meV per atom